{
  "formula": "CeV2Re",
  "functional": "PBE",
  "state": "optimized geometry",
  "crystal_system": "tetragonal",
  "space_group": "P4/mmm, No. 123",
  "de_polymorph_ev_per_fu": 0.000,
  "lattice": [[-0.174, 0.014, 3.029], [-2.295, -1.981, -0.123], [4.880, -5.673, 0.306]],
  "species": ["Re", "Ce", "V", "V"],
  "fractional_positions": [[0.500, 0.500, 0.000], [0.500, 0.500, 0.500], [0.000, 0.000, 0.805], [0.000, 0.000, 0.195]]
}

{
  "formula": "CeReW",
  "functional": "PBE",
  "state": "optimized geometry",
  "crystal_system": "orthorhombic",
  "space_group": "Fmmm, No. 69",
  "lattice": [[5.336, 0.095, 0.000], [-2.472, 4.730, 0.000], [-1.432, -2.412, 4.553]],
  "species": ["Ce", "Ce", "W", "W", "Re", "Re"],
  "fractional_positions": [[0.658, 0.342, 0.000], [0.342, 0.658, 0.000], [0.849, 0.849, 0.698], [0.151, 0.151, 0.302], [0.750, 0.250, 0.500], [0.250, 0.750, 0.500]]
}

{
  "formula": "CeRe2W",
  "functional": "PBE",
  "state": "optimized geometry",
  "crystal_system": "tetragonal",
  "space_group": "P4/mmm, No. 123",
  "lattice": [[3.132, 0.000, 0.000], [0.000, 3.132, 0.000], [0.000, 0.000, 7.455]],
  "species": ["Re", "Re", "Ce", "W"],
  "fractional_positions": [[0.000, 0.000, 0.795], [0.000, 0.000, 0.205], [0.500, 0.500, 0.500], [0.500, 0.500, 0.000]]
}

{
  "formula": "Ce2YRe",
  "functional": "PBE",
  "state": "optimized geometry",
  "crystal_system": "trigonal",
  "space_group": "R-3m, No. 166",
  "lattice": [[-3.383, -1.063, 1.570], [-1.502, -3.483, -0.807], [2.705, -5.001, 7.235]],
  "species": ["Y", "Re", "Ce", "Ce"],
  "fractional_positions": [[0.500, 0.500, 0.500], [0.000, 0.000, 0.000], [0.273, 0.273, 0.181], [0.727, 0.727, 0.819]]
}

{
  "formula": "CeZnRe",
  "functional": "PBE",
  "state": "optimized geometry",
  "crystal_system": "orthorhombic",
  "space_group": "Cmcm, No. 63",
  "lattice": [[-0.426, 4.323, -0.981], [-3.010, -0.486, -0.834], [-3.895, 1.277, 7.324]],
  "species": ["Ce", "Ce", "Zn", "Zn", "Re", "Re"],
  "fractional_positions": [[0.250, 0.126, 0.749], [0.750, 0.874, 0.251], [0.250, 0.459, 0.082], [0.750, 0.541, 0.918], [0.750, 0.723, 0.553], [0.250, 0.277, 0.447]]
}

{
  "formula": "Ce4ZnRe",
  "functional": "PBE",
  "state": "optimized geometry",
  "crystal_system": "monoclinic",
  "space_group": "C2/c, No. 15",
  "lattice": [[-4.183, -3.353, 2.513], [6.109, -2.111, 3.836], [-2.273, 6.905, 1.912]],
  "species": ["Ce", "Ce", "Ce", "Ce", "Ce", "Ce", "Ce", "Ce", "Zn", "Zn", "Re", "Re"],
  "fractional_positions": [[0.832, 0.618, 0.806], [0.076, 0.933, 0.314], [0.668, 0.194, 0.382], [0.424, 0.686, 0.067], [0.576, 0.314, 0.933], [0.332, 0.806, 0.618], [0.924, 0.067, 0.686], [0.168, 0.382, 0.194], [0.750, 0.612, 0.388], [0.250, 0.388, 0.612], [0.250, 0.001, 0.999], [0.750, 0.999, 0.001]]
}

{
  "formula": "CeZrZnRe",
  "functional": "PBE",
  "state": "optimized geometry",
  "crystal_system": "cubic",
  "space_group": "F-43m, No. 216",
  "lattice": [[-4.820, -0.371, 0.399], [-1.980, -1.518, 4.160], [-2.449, 3.114, 2.799]],
  "species": ["Re", "Zn", "Zr", "Ce"],
  "fractional_positions": [[0.500, 0.500, 0.500], [0.000, 0.000, 0.000], [0.750, 0.750, 0.750], [0.250, 0.250, 0.250]]
}

{
  "formula": "CeZr2Re",
  "functional": "PBE",
  "state": "optimized geometry",
  "crystal_system": "tetragonal",
  "space_group": "P4/mmm, No. 123",
  "lattice": [[3.307, 0.000, 0.000], [0.000, 3.307, 0.000], [0.000, 0.000, 8.052]],
  "species": ["Re", "Zr", "Zr", "Ce"],
  "fractional_positions": [[0.500, 0.500, 0.000], [0.000, 0.000, 0.800], [0.000, 0.000, 0.200], [0.500, 0.500, 0.500]]
}

{
  "formula": "CeZrRe",
  "functional": "PBE",
  "state": "optimized geometry",
  "crystal_system": "tetragonal",
  "space_group": "P4/nmm, No. 129",
  "lattice": [[-1.565, -2.709, 2.402], [-2.272, -1.303, -2.949], [5.827, -5.281, -2.157]],
  "species": ["Ce", "Ce", "Zr", "Zr", "Re", "Re"],
  "fractional_positions": [[0.000, 0.000, 0.000], [0.500, 0.500, 0.000], [0.000, 0.500, 0.371], [0.500, 0.000, 0.629], [0.000, 0.500, 0.712], [0.500, 0.000, 0.288]]
}

{
  "formula": "CeRh3",
  "functional": "PBE",
  "state": "optimized geometry",
  "crystal_system": "cubic",
  "space_group": "Pm-3m, No. 221",
  "lattice": [[-3.270, -2.348, -0.563], [1.480, -2.698, 2.654], [-1.907, 1.930, 3.025]],
  "species": ["Rh", "Rh", "Rh", "Ce"],
  "fractional_positions": [[0.000, 0.000, 0.917], [0.500, 0.000, 0.417], [0.500, 0.500, 0.917], [0.000, 0.500, 0.417]]
}

{
  "formula": "CeRh4",
  "functional": "PBE",
  "state": "optimized geometry",
  "crystal_system": "orthorhombic",
  "space_group": "Imma, No. 74",
  "lattice": [[-1.249, -0.584, -4.039], [-0.520, -5.543, 0.962], [-5.645, 4.002, 3.422]],
  "species": ["Ce", "Ce", "Rh", "Rh", "Rh", "Rh", "Rh", "Rh", "Rh", "Rh"],
  "fractional_positions": [[0.895, 0.145, 0.790], [0.105, 0.855, 0.210], [0.111, 0.361, 0.221], [0.889, 0.639, 0.779], [0.500, 0.000, 0.000], [0.500, 0.500, 0.000], [0.696, 0.213, 0.392], [0.304, 0.787, 0.608], [0.304, 0.321, 0.608], [0.696, 0.679, 0.392]]
}

{
  "formula": "Ce3Rh",
  "functional": "PBE",
  "state": "optimized geometry",
  "crystal_system": "tetragonal",
  "space_group": "P4_2/n, No. 86",
  "lattice": [[-1.939, -5.347, -0.692], [8.287, -3.947, 7.288], [-7.278, 1.466, 9.069]],
  "species": ["Ce", "Ce", "Ce", "Ce", "Ce", "Ce", "Ce", "Ce", "Ce", "Ce", "Ce", "Ce", "Ce", "Ce", "Ce", "Ce", "Ce", "Ce", "Ce", "Ce", "Ce", "Ce", "Ce", "Ce", "Rh", "Rh", "Rh", "Rh", "Rh", "Rh", "Rh", "Rh"],
  "fractional_positions": [[0.965, 0.290, 0.839], [0.965, 0.710, 0.161], [0.465, 0.661, 0.790], [0.465, 0.339, 0.210], [0.535, 0.210, 0.661], [0.535, 0.790, 0.339], [0.035, 0.839, 0.710], [0.035, 0.161, 0.290], [0.540, 0.373, 0.915], [0.540, 0.627, 0.085], [0.040, 0.585, 0.873], [0.040, 0.415, 0.127], [0.960, 0.127, 0.585], [0.960, 0.873, 0.415], [0.460, 0.915, 0.627], [0.460, 0.085, 0.373], [0.748, 0.064, 0.864], [0.748, 0.936, 0.136], [0.248, 0.636, 0.564], [0.248, 0.364, 0.436], [0.752, 0.436, 0.636], [0.752, 0.564, 0.364], [0.252, 0.864, 0.936], [0.252, 0.136, 0.064], [0.745, 0.821, 0.921], [0.745, 0.179, 0.079], [0.245, 0.579, 0.321], [0.245, 0.421, 0.679], [0.755, 0.679, 0.579], [0.755, 0.321, 0.421], [0.255, 0.921, 0.179], [0.255, 0.079, 0.821]]
}

{
  "formula": "Ce5Rh",
  "functional": "PBE",
  "state": "optimized geometry",
  "crystal_system": "orthorhombic",
  "space_group": "Cmmm, No. 65",
  "lattice": [[-2.550, 2.325, 2.281], [1.750, -1.468, 3.452], [4.553, 6.840, -1.881]],
  "species": ["Rh", "Ce", "Ce", "Ce", "Ce", "Ce"],
  "fractional_positions": [[0.000, 0.000, 0.000], [0.500, 0.832, 0.664], [0.000, 0.668, 0.337], [0.500, 0.500, 0.000], [0.000, 0.332, 0.663], [0.500, 0.168, 0.336]]
}

{
  "formula": "CeRh2",
  "functional": "PBE",
  "state": "optimized geometry",
  "crystal_system": "monoclinic",
  "space_group": "C2/m, No. 12",
  "lattice": [[-1.669, -3.127, -0.206], [1.400, -0.365, -3.242], [3.749, 0.472, 4.220]],
  "species": ["Rh", "Rh", "Ce"],
  "fractional_positions": [[0.135, 0.135, 0.327], [0.865, 0.865, 0.673], [0.500, 0.500, 0.000]]
}

{
  "formula": "CeRh2",
  "functional": "PBE",
  "state": "optimized geometry",
  "crystal_system": "cubic",
  "space_group": "Fd-3m, No. 227",
  "lattice": [[5.354, 0.000, 0.000], [2.677, 4.637, 0.000], [2.677, 1.546, 4.372]],
  "species": ["Ce", "Ce", "Rh", "Rh", "Rh", "Rh"],
  "fractional_positions": [[0.500, 0.500, 0.500], [0.750, 0.750, 0.750], [0.125, 0.125, 0.125], [0.625, 0.125, 0.125], [0.125, 0.625, 0.125], [0.125, 0.125, 0.625]]
}

{
  "formula": "Ce3Rh2",
  "functional": "PBE",
  "state": "optimized geometry",
  "crystal_system": "orthorhombic",
  "space_group": "Pnma, No. 62",
  "de_polymorph_ev_per_fu": 0.090,
  "lattice": [[3.885, 0.000, 0.000], [0.000, 10.878, 0.000], [0.000, 0.000, 11.520]],
  "species": ["Ce", "Ce", "Ce", "Ce", "Ce", "Ce", "Ce", "Ce", "Ce", "Ce", "Ce", "Ce", "Rh", "Rh", "Rh", "Rh", "Rh", "Rh", "Rh", "Rh"],
  "fractional_positions": [[0.250, 0.639, 0.559], [0.250, 0.861, 0.059], [0.750, 0.361, 0.441], [0.750, 0.139, 0.941], [0.750, 0.054, 0.626], [0.750, 0.446, 0.126], [0.250, 0.946, 0.374], [0.250, 0.554, 0.874], [0.250, 0.313, 0.723], [0.250, 0.187, 0.223], [0.750, 0.687, 0.277], [0.750, 0.813, 0.777], [0.250, 0.183, 0.500], [0.250, 0.317, 0.000], [0.750, 0.817, 0.500], [0.750, 0.683, 0.000], [0.750, 0.496, 0.671], [0.750, 0.004, 0.171], [0.250, 0.504, 0.329], [0.250, 0.996, 0.829]]
}

{
  "formula": "Ce5Rh2",
  "functional": "PBE",
  "state": "optimized geometry",
  "crystal_system": "orthorhombic",
  "space_group": "Ibam, No. 72",
  "de_polymorph_ev_per_fu": 0.354,
  "lattice": [[-2.556, 6.278, -0.800], [-6.823, -2.478, 2.355], [6.274, -0.479, 5.309]],
  "species": ["Ce", "Ce", "Ce", "Ce", "Ce", "Ce", "Ce", "Ce", "Ce", "Ce", "Rh", "Rh", "Rh", "Rh"],
  "fractional_positions": [[0.079, 0.226, 0.157], [0.921, 0.774, 0.843], [0.579, 0.932, 0.157], [0.421, 0.068, 0.843], [0.521, 0.771, 0.542], [0.979, 0.229, 0.458], [0.479, 0.229, 0.458], [0.021, 0.771, 0.542], [0.750, 0.500, 0.000], [0.250, 0.500, 0.000], [0.374, 0.585, 0.747], [0.626, 0.415, 0.253], [0.874, 0.162, 0.747], [0.126, 0.838, 0.253]]
}

{
  "formula": "CeRh3",
  "functional": "PBE",
  "state": "optimized geometry",
  "crystal_system": "tetragonal",
  "space_group": "I4/mmm, No. 139",
  "lattice": [[-0.529, 3.815, -1.392], [-2.672, -1.384, -2.778], [-1.403, -0.675, 4.705]],
  "species": ["Rh", "Rh", "Rh", "Ce"],
  "fractional_positions": [[0.750, 0.250, 0.500], [0.250, 0.750, 0.500], [0.500, 0.500, 0.000], [0.000, 0.000, 0.000]]
}

{
  "formula": "Ce3Rh2",
  "functional": "PBE",
  "state": "optimized geometry",
  "crystal_system": "trigonal",
  "space_group": "R-3, No. 148",
  "de_polymorph_ev_per_fu": 0.000,
  "lattice": [[-4.138, 6.026, -1.235], [-7.068, -2.148, -0.623], [-3.495, 1.724, 6.307]],
  "species": ["Ce", "Ce", "Ce", "Ce", "Ce", "Ce", "Ce", "Ce", "Ce", "Rh", "Rh", "Rh", "Rh", "Rh", "Rh"],
  "fractional_positions": [[0.000, 0.000, 0.000], [0.794, 0.794, 0.794], [0.206, 0.206, 0.206], [0.169, 0.389, 0.660], [0.660, 0.169, 0.389], [0.389, 0.660, 0.169], [0.831, 0.611, 0.340], [0.340, 0.831, 0.611], [0.611, 0.340, 0.831], [0.950, 0.167, 0.592], [0.592, 0.950, 0.167], [0.167, 0.592, 0.950], [0.050, 0.833, 0.408], [0.408, 0.050, 0.833], [0.833, 0.408, 0.050]]
}

{
  "formula": "CeRh4",
  "functional": "PBE",
  "state": "optimized geometry",
  "crystal_system": "cubic",
  "space_group": "I-43m, No. 217",
  "lattice": [[7.755, 0.000, 0.000], [-2.585, 7.312, 0.000], [-2.585, -3.656, 6.332]],
  "species": ["Ce", "Ce", "Ce", "Ce", "Rh", "Rh", "Rh", "Rh", "Rh", "Rh", "Rh", "Rh", "Rh", "Rh", "Rh", "Rh", "Rh", "Rh", "Rh", "Rh"],
  "fractional_positions": [[0.537, 0.000, 0.000], [0.000, 0.537, 0.000], [0.463, 0.463, 0.463], [0.000, 0.000, 0.537], [0.214, 0.000, 0.000], [0.000, 0.214, 0.000], [0.786, 0.786, 0.786], [0.000, 0.000, 0.214], [0.352, 0.000, 0.352], [0.648, 0.000, 0.648], [0.000, 0.648, 0.648], [0.000, 0.352, 0.352], [0.352, 0.352, 0.000], [0.648, 0.648, 0.000], [0.250, 0.500, 0.750], [0.750, 0.500, 0.250], [0.500, 0.250, 0.750], [0.500, 0.750, 0.250], [0.750, 0.250, 0.500], [0.250, 0.750, 0.500]]
}

{
  "formula": "CeRh6",
  "functional": "PBE",
  "state": "optimized geometry",
  "crystal_system": "cubic",
  "space_group": "Im-3m, No. 229",
  "de_polymorph_ev_per_fu": 4.863,
  "lattice": [[-1.668, 0.812, 5.551], [-2.412, -4.917, -2.062], [5.831, -0.438, -0.241]],
  "species": ["Ce", "Rh", "Rh", "Rh", "Rh", "Rh", "Rh"],
  "fractional_positions": [[0.000, 0.000, 0.000], [0.250, 0.750, 0.500], [0.500, 0.750, 0.250], [0.250, 0.500, 0.750], [0.750, 0.250, 0.500], [0.500, 0.250, 0.750], [0.750, 0.500, 0.250]]
}

{
  "formula": "Ce3Rh",
  "functional": "PBE",
  "state": "optimized geometry",
  "crystal_system": "orthorhombic",
  "space_group": "Immm, No. 71",
  "lattice": [[3.401, 0.000, 0.000], [0.000, 5.551, 0.000], [-1.701, -2.776, 4.794]],
  "species": ["Rh", "Ce", "Ce", "Ce"],
  "fractional_positions": [[0.000, 0.917, 0.000], [0.265, 0.682, 0.530], [0.500, 0.417, 0.000], [0.735, 0.151, 0.470]]
}

{
  "formula": "Ce3Rh",
  "functional": "PBE",
  "state": "optimized geometry",
  "crystal_system": "orthorhombic",
  "space_group": "Pmm2, No. 25",
  "lattice": [[-0.057, -3.822, 2.152], [0.765, -1.552, -2.735], [6.210, 0.671, 1.357]],
  "species": ["Rh", "Ce", "Ce", "Ce"],
  "fractional_positions": [[0.000, 0.000, 0.986], [0.000, 0.500, 0.467], [0.500, 0.500, 0.173], [0.500, 0.000, 0.707]]
}

no.,E_tot (eV per atom),ΔE_f (eV/atom)
1,-9.08,0.072
2,-10.12,0.323
3,-10.78,0.169
4,-7.38,0.315
5,-6.44,0.112
6,-6.30,-0.061
7,-7.09,-0.039
8,-8.93,-0.064
9,-8.74,0.241
10,-7.63,-0.632
11,-7.49,-0.423
12,-6.62,-0.332
13,-6.31,-0.136
14,-7.42,-0.546
15,-7.60,-0.719
16,-7.07,-0.571
17,-6.69,-0.348
18,-7.52,-0.526
19,-7.09,-0.589
20,-7.35,-0.285
21,-6.71,0.440
22,-6.63,-0.345
23,-6.46,-0.171